Entry from Alexandria via LeMat-Bulk: an optimized crystal structure of Y2ScIr (PBE-GGA).

abc: 3.650 5.089 10.423
angles: 90.00 90.00 90.00
Space group Immm (No. 71)
Inequivalent atoms, fractional coordinates:
Y  0.000  0.000  0.201
Sc  0.000  0.500  0.000
Ir  0.000  0.500  0.500

Computed properties:
N(E_F)	0.933	states/eV per atom
energy above the lowest structure with this stoichiometry	87.0	meV/atom
ΔE_f	-0.408	eV per atom
total magnetic moment	0.00	μB/f.u.